Entry from Alexandria: a geometry-optimized GaSnPd6 structure (PBE-GGA).

Properties
E_form   -0.477 eV per atom
Uncorrected energy   -42.0 eV for the cell shown
V   15.78 A^3/atom

Cell lengths 3.9905, 3.9905, 7.9278 Å; angles 90.00, 90.00, 90.00 degrees
Space group P4/mmm (No. 123)
One atom of each set of equivalent atoms:
Ga 0.0000 0.0000 0.0000
Sn 0.0000 0.0000 0.5000
Pd 0.0000 0.5000 0.2421
Pd 0.5000 0.5000 0.0000
Pd 0.5000 0.5000 0.5000

---

Entry from Alexandria: a geometry-optimized Ga4SnPd7 structure (PBE-GGA).

Properties
E_form   -0.382 eV per atom
Uncorrected energy   -114.1 eV for the cell shown
V   17.32 A^3/atom

Cell lengths 11.5425, 4.8326, 9.1561 Å; angles 90.00, 125.54, 90.00 degrees
Space group C2/m (No. 12)
One atom of each set of equivalent atoms:
Ga 0.0838 0.0000 0.2798
Ga 0.2216 0.0000 0.8384
Sn 0.0000 0.5000 0.5000
Pd 0.0000 0.0000 0.5000
Pd 0.0752 0.5000 0.8345
Pd 0.1428 0.0000 0.0557
Pd 0.2151 0.5000 0.3813

---

Entry from Alexandria: a geometry-optimized GaSnPd3 structure (PBE-GGA).

Properties
E_form   0.016 eV per atom
Uncorrected energy   -22.5 eV for the cell shown
V   20.15 A^3/atom

Cell lengths 4.6529, 4.6529, 4.6529 Å; angles 90.00, 90.00, 90.00 degrees
Space group Pm-3m (No. 221)
One atom of each set of equivalent atoms:
Ga 0.0000 0.0000 0.0000
Sn 0.5000 0.5000 0.5000
Pd 0.0000 0.0000 0.5000

---

Entry from Alexandria: a geometry-optimized GaSnPd2 structure (PBE-GGA).

Properties
E_form   -0.267 eV per atom
Uncorrected energy   -73.9 eV for the cell shown
V   18.70 A^3/atom

Cell lengths 7.2323, 7.2323, 5.7190 Å; angles 90.00, 90.00, 90.00 degrees
Space group I-42d (No. 122)
One atom of each set of equivalent atoms:
Ga 0.0000 0.0000 0.0000
Sn 0.0000 0.0000 0.5000
Pd 0.2139 0.7500 0.1250

---

Entry from Alexandria: a geometry-optimized Ga4SnPd15 structure (PBE-GGA).

Properties
E_form   -0.455 eV per atom
Uncorrected energy   -103.1 eV for the cell shown
V   15.37 A^3/atom

Cell lengths 3.9565, 3.9565, 19.6431 Å; angles 90.00, 90.00, 90.00 degrees
Space group P4/mmm (No. 123)
One atom of each set of equivalent atoms:
Ga 0.0000 0.0000 0.0985
Ga 0.0000 0.0000 0.2950
Sn 0.0000 0.0000 0.5000
Pd 0.0000 0.5000 0.0000
Pd 0.0000 0.5000 0.1971
Pd 0.0000 0.5000 0.3948
Pd 0.5000 0.5000 0.0985
Pd 0.5000 0.5000 0.2961
Pd 0.5000 0.5000 0.5000

---

Entry from Alexandria: a geometry-optimized Sr2Ga3SnPd4 structure (PBE-GGA).

Properties
E_form   -0.723 eV per atom
Uncorrected energy   -44.4 eV for the cell shown
V   21.30 A^3/atom

Cell lengths 4.5349, 4.5349, 10.3591 Å; angles 90.00, 90.00, 90.00 degrees
Space group P-4m2 (No. 115)
One atom of each set of equivalent atoms:
Sr 0.0000 0.5000 0.2394
Ga 0.0000 0.5000 0.8843
Ga 0.5000 0.5000 0.5000
Sn 0.0000 0.0000 0.5000
Pd 0.0000 0.0000 0.0000
Pd 0.0000 0.5000 0.6396
Pd 0.5000 0.5000 0.0000

---

Entry from Alexandria: a geometry-optimized Sr3Ga2SnPd9 structure (PBE-GGA).

Properties
E_form   -0.476 eV per atom
Uncorrected energy   -69.0 eV for the cell shown
V   23.10 A^3/atom

Cell lengths 6.5386, 6.5386, 9.3601 Å; angles 90.00, 90.00, 120.00 degrees
Space group P-3m1 (No. 164)
One atom of each set of equivalent atoms:
Sr 0.0000 0.0000 0.0000
Sr 0.3333 0.6667 0.6909
Ga 0.3333 0.6667 0.1707
Sn 0.0000 0.0000 0.5000
Pd 0.0000 0.5000 0.0000
Pd 0.1419 0.2837 0.2756

---

Entry from Alexandria: a geometry-optimized SrGaSn2Pd4 structure (PBE-GGA).

Properties
E_form   -0.607 eV per atom
Uncorrected energy   -115.0 eV for the cell shown
V   20.47 A^3/atom

Cell lengths 4.5636, 4.5636, 27.2325 Å; angles 90.00, 90.00, 120.00 degrees
Space group R-3m (No. 166, hexagonal axes)
One atom of each set of equivalent atoms:
Sr 0.0000 0.0000 0.0000
Ga 0.0000 0.0000 0.5000
Sn 0.0000 0.0000 0.2442
Pd 0.0000 0.0000 0.1396
Pd 0.0000 0.0000 0.4086